Crystalline TaAg2Mo at its relaxed geometry. Source: Alexandria, functional GGA-PBE.

Unit cell a=4.958 b=2.733 c=5.188 alpha=79.27 beta=90.00 gamma=90.00
Element x y z (fractional)
Ag (0.000, 0.992, 0.000)
Ag (0.000, 0.508, 0.500)
Mo (0.500, 0.250, 0.250)
Ta (0.500, 0.750, 0.750)

As for the polymorph energy (0 for the lowest one): 0.915 eV per formula unit. For the density of states at the Fermi level, the calculation gives 2.810 states/eV per cell. The calculation puts the calculated volume at 69.1 Å³ per cell. Its calculated formation energy is 0.42 eV/atom.